[1]
{
  "formula": "Hf4Tl",
  "functional": "PBE",
  "state": "optimized geometry",
  "lattice": [[-3.015, 3.015, 6.586], [3.015, -3.015, 6.586], [3.015, 3.015, -6.586]],
  "species": ["Hf", "Hf", "Hf", "Hf", "Hf", "Hf", "Hf", "Hf", "Tl", "Tl"],
  "frac_coords": [[0.163, 0.829, 0.900], [0.237, 0.337, 0.166], [0.329, 0.929, 0.666], [0.429, 0.263, 0.600], [0.571, 0.737, 0.400], [0.671, 0.071, 0.334], [0.763, 0.663, 0.834], [0.837, 0.171, 0.100], [0.125, 0.375, 0.750], [0.875, 0.625, 0.250]],
  "formation_enthalpy_0k_ev_per_atom": 0.170,
  "polymorph_energy_mev_per_atom": 137
}

---

[2]
{
  "formula": "CePuGe6",
  "functional": "PBE",
  "state": "optimized geometry",
  "lattice": [[6.127, 0.000, 0.000], [-3.064, 5.306, 0.000], [0.000, 0.000, 4.961]],
  "species": ["Ce", "Pu", "Ge", "Ge", "Ge", "Ge", "Ge", "Ge"],
  "frac_coords": [[0.000, 0.000, 0.000], [0.333, 0.667, 0.500], [0.373, 0.187, 0.500], [0.518, 0.036, 0.000], [0.518, 0.482, 0.000], [0.813, 0.187, 0.500], [0.813, 0.627, 0.500], [0.964, 0.482, 0.000]],
  "formation_enthalpy_0k_ev_per_atom": -0.389
}

---

[3]
{
  "formula": "NdZr2Rh2",
  "functional": "PBE",
  "state": "optimized geometry",
  "lattice": [[-2.277, 2.277, 5.462], [2.277, -2.277, 5.462], [2.277, 2.277, -5.462]],
  "species": ["Nd", "Zr", "Zr", "Rh", "Rh"],
  "frac_coords": [[0.000, 0.000, 0.000], [0.250, 0.750, 0.500], [0.750, 0.250, 0.500], [0.380, 0.380, 0.000], [0.620, 0.620, 0.000]],
  "formation_enthalpy_0k_ev_per_atom": -0.612
}

---

[4]
{
  "formula": "Dy4Ga3Cu",
  "functional": "PBE",
  "state": "optimized geometry",
  "lattice": [[5.010, 0.000, 0.000], [0.000, 5.010, 0.000], [0.000, 0.000, 7.155]],
  "species": ["Dy", "Dy", "Dy", "Dy", "Ga", "Ga", "Ga", "Cu"],
  "frac_coords": [[0.000, 0.500, 0.247], [0.000, 0.500, 0.753], [0.500, 0.000, 0.247], [0.500, 0.000, 0.753], [0.000, 0.000, 0.000], [0.000, 0.000, 0.500], [0.500, 0.500, 0.500], [0.500, 0.500, 0.000]],
  "formation_enthalpy_0k_ev_per_atom": -0.498,
  "polymorph_energy_mev_per_atom": 5
}

---

[5]
{
  "formula": "PtCl3",
  "functional": "PBE",
  "state": "optimized geometry",
  "lattice": [[6.099, -4.949, 0.000], [6.099, 4.949, 0.000], [0.000, 0.000, 4.479]],
  "species": ["Pt", "Pt", "Cl", "Cl", "Cl", "Cl", "Cl", "Cl"],
  "frac_coords": [[0.068, 0.932, 0.750], [0.932, 0.068, 0.250], [0.065, 0.292, 0.250], [0.292, 0.065, 0.750], [0.471, 0.529, 0.750], [0.529, 0.471, 0.250], [0.708, 0.935, 0.250], [0.935, 0.708, 0.750]],
  "e_form_raw_ev_per_atom": 0.03
}

---

[6]
{
  "formula": "SrAl2Bi",
  "functional": "PBE",
  "state": "optimized geometry",
  "lattice": [[-4.305, 4.305, 3.247], [4.305, -4.305, 3.247], [4.305, 4.305, -3.247]],
  "species": ["Sr", "Sr", "Al", "Al", "Al", "Al", "Bi", "Bi"],
  "frac_coords": [[0.000, 0.000, 0.000], [0.750, 0.250, 0.500], [0.166, 0.625, 0.041], [0.375, 0.416, 0.541], [0.584, 0.125, 0.959], [0.875, 0.834, 0.459], [0.250, 0.750, 0.500], [0.500, 0.500, 0.000]],
  "formation_enthalpy_0k_ev_per_atom": -0.014
}

---

[7]
{
  "formula": "La3MgCu2",
  "functional": "PBE",
  "state": "optimized geometry",
  "lattice": [[3.687, 0.000, 0.000], [0.000, 3.687, 0.000], [0.000, 0.000, 11.765]],
  "species": ["La", "La", "La", "Mg", "Cu", "Cu"],
  "frac_coords": [[0.000, 0.000, 0.000], [0.000, 0.000, 0.305], [0.000, 0.000, 0.695], [0.500, 0.500, 0.500], [0.500, 0.500, 0.160], [0.500, 0.500, 0.840]],
  "formation_enthalpy_0k_ev_per_atom": -0.121
}

---

[8]
{
  "formula": "Mn2TcP",
  "functional": "PBE",
  "state": "optimized geometry",
  "lattice": [[4.038, 0.000, 0.000], [0.000, 4.038, 0.000], [0.000, 0.000, 2.917]],
  "species": ["Mn", "Mn", "Tc", "P"],
  "frac_coords": [[0.000, 0.500, 0.000], [0.500, 0.000, 0.000], [0.000, 0.000, 0.500], [0.500, 0.500, 0.500]],
  "formation_enthalpy_0k_ev_per_atom": 0.053,
  "polymorph_energy_mev_per_atom": 309
}

---

[9]
{
  "formula": "K3MgI",
  "functional": "PBE",
  "state": "optimized geometry",
  "lattice": [[6.751, 0.000, 0.000], [0.000, 6.751, 0.000], [0.000, 0.000, 6.751]],
  "species": ["K", "K", "K", "Mg", "I"],
  "frac_coords": [[0.000, 0.000, 0.500], [0.000, 0.500, 0.000], [0.500, 0.000, 0.000], [0.500, 0.500, 0.500], [0.000, 0.000, 0.000]],
  "e_form_raw_ev_per_atom": -0.29,
  "polymorph_energy_mev_per_atom": 0
}

---

[10]
{
  "formula": "CuGeO3",
  "functional": "PBE",
  "state": "optimized geometry",
  "lattice": [[1.450, -7.222, 0.000], [1.450, 7.222, 0.000], [0.000, 0.000, 5.055]],
  "species": ["Cu", "Cu", "Ge", "Ge", "O", "O", "O", "O", "O", "O"],
  "frac_coords": [[0.069, 0.931, 0.500], [0.931, 0.069, 0.000], [0.325, 0.675, 0.521], [0.675, 0.325, 0.021], [0.114, 0.886, 0.855], [0.239, 0.761, 0.196], [0.426, 0.574, 0.771], [0.574, 0.426, 0.271], [0.761, 0.239, 0.696], [0.886, 0.114, 0.355]],
  "e_form_raw_ev_per_atom": -1.06
}

---

[11]
{
  "formula": "YErTe2",
  "functional": "PBE",
  "state": "optimized geometry",
  "lattice": [[0.000, 3.777, 3.777], [3.777, 0.000, 3.777], [3.777, 3.777, 0.000]],
  "species": ["Y", "Er", "Te", "Te"],
  "frac_coords": [[0.000, 0.000, 0.000], [0.500, 0.500, 0.500], [0.250, 0.250, 0.250], [0.750, 0.750, 0.750]],
  "e_form_raw_ev_per_atom": -1.14,
  "polymorph_energy_mev_per_atom": 152
}

---

[12]
{
  "formula": "Tm4ZnCo2",
  "functional": "PBE",
  "state": "optimized geometry",
  "lattice": [[6.705, 0.000, 0.000], [0.230, 6.714, 0.000], [3.276, -0.001, 6.664]],
  "species": ["Tm", "Tm", "Tm", "Tm", "Tm", "Tm", "Tm", "Tm", "Zn", "Zn", "Co", "Co", "Co", "Co"],
  "frac_coords": [[0.000, 0.000, 0.000], [0.019, 0.523, 0.979], [0.230, 0.516, 0.500], [0.270, 0.995, 0.512], [0.489, 0.971, 0.013], [0.525, 0.494, 0.959], [0.739, 0.583, 0.472], [0.759, 0.059, 0.542], [0.134, 0.267, 0.235], [0.625, 0.265, 0.261], [0.131, 0.761, 0.240], [0.365, 0.258, 0.758], [0.372, 0.766, 0.760], [0.881, 0.765, 0.736]],
  "formation_enthalpy_0k_ev_per_atom": -0.184
}

---

[13]
{
  "formula": "TiBiPS2",
  "functional": "PBE",
  "state": "optimized geometry",
  "lattice": [[5.147, 0.000, 0.000], [0.000, 5.147, 0.000], [0.000, 0.000, 5.198]],
  "species": ["Ti", "Bi", "P", "S", "S"],
  "frac_coords": [[0.000, 0.000, 0.000], [0.500, 0.500, 0.500], [0.500, 0.500, 0.000], [0.000, 0.500, 0.500], [0.500, 0.000, 0.500]],
  "e_form_raw_ev_per_atom": 0.86,
  "polymorph_energy_mev_per_atom": 1106
}

---

[14]
{
  "formula": "Ta3BeBr",
  "functional": "PBE",
  "state": "optimized geometry",
  "lattice": [[4.510, 0.000, 0.000], [0.000, 4.510, 0.000], [0.000, 0.000, 4.510]],
  "species": ["Ta", "Ta", "Ta", "Be", "Br"],
  "frac_coords": [[0.000, 0.000, 0.500], [0.000, 0.500, 0.000], [0.500, 0.000, 0.000], [0.000, 0.000, 0.000], [0.500, 0.500, 0.500]],
  "e_form_raw_ev_per_atom": 1.10,
  "polymorph_energy_mev_per_atom": 0
}

---

[15]
{
  "formula": "MgGaNi",
  "functional": "PBE",
  "state": "optimized geometry",
  "lattice": [[4.219, 0.000, 0.000], [-2.109, 3.654, 0.000], [0.000, 0.000, 2.952]],
  "species": ["Mg", "Ga", "Ni"],
  "frac_coords": [[0.000, 0.000, 0.000], [0.333, 0.667, 0.500], [0.667, 0.333, 0.500]],
  "formation_enthalpy_0k_ev_per_atom": -0.278
}

---

[16]
{
  "formula": "Li2US3",
  "functional": "PBE",
  "state": "optimized geometry",
  "lattice": [[3.253, 1.878, 6.419], [-3.253, 1.878, 6.419], [0.000, -3.757, 6.419]],
  "species": ["Li", "Li", "Li", "Li", "U", "U", "S", "S", "S", "S", "S", "S"],
  "frac_coords": [[0.173, 0.173, 0.173], [0.327, 0.327, 0.327], [0.673, 0.673, 0.673], [0.827, 0.827, 0.827], [0.000, 0.000, 0.000], [0.500, 0.500, 0.500], [0.086, 0.750, 0.414], [0.250, 0.586, 0.914], [0.414, 0.086, 0.750], [0.586, 0.914, 0.250], [0.750, 0.414, 0.086], [0.914, 0.250, 0.586]],
  "e_form_raw_ev_per_atom": -1.34,
  "polymorph_energy_mev_per_atom": 48
}

---

[17]
{
  "formula": "Tb3TlCd",
  "functional": "PBE",
  "state": "optimized geometry",
  "lattice": [[2.576, -10.675, 0.000], [2.576, 10.675, 0.000], [0.000, 0.000, 5.149]],
  "species": ["Tb", "Tb", "Tb", "Tb", "Tb", "Tb", "Tl", "Tl", "Cd", "Cd"],
  "frac_coords": [[0.057, 0.943, 0.750], [0.250, 0.750, 0.750], [0.441, 0.559, 0.750], [0.559, 0.441, 0.250], [0.750, 0.250, 0.250], [0.943, 0.057, 0.250], [0.345, 0.655, 0.250], [0.655, 0.345, 0.750], [0.154, 0.846, 0.250], [0.846, 0.154, 0.750]],
  "formation_enthalpy_0k_ev_per_atom": -0.261,
  "polymorph_energy_mev_per_atom": 0
}

---

[18]
{
  "formula": "Y2CrSb",
  "functional": "PBE",
  "state": "optimized geometry",
  "lattice": [[4.375, 0.000, 0.000], [0.000, 2.080, 5.719], [0.000, -2.080, 5.719]],
  "species": ["Y", "Y", "Cr", "Sb"],
  "frac_coords": [[0.000, 0.000, 0.000], [0.500, 0.290, 0.290], [0.500, 0.562, 0.562], [0.000, 0.716, 0.716]],
  "e_form_raw_ev_per_atom": -0.39
}

---

[19]
{
  "formula": "HfMoRu3",
  "functional": "PBE",
  "state": "optimized geometry",
  "lattice": [[4.606, 0.000, 0.000], [0.000, 4.606, 0.000], [0.000, 0.000, 4.606]],
  "species": ["Hf", "Mo", "Ru", "Ru", "Ru"],
  "frac_coords": [[0.000, 0.000, 0.000], [0.500, 0.500, 0.500], [0.000, 0.500, 0.500], [0.500, 0.000, 0.500], [0.500, 0.500, 0.000]],
  "formation_enthalpy_0k_ev_per_atom": 1.030,
  "polymorph_energy_mev_per_atom": 0
}

---

[20]
{
  "formula": "Al2ReTeMo",
  "functional": "PBE",
  "state": "optimized geometry",
  "lattice": [[4.793, 0.000, 0.000], [0.000, 4.793, 0.000], [0.000, 0.000, 5.178]],
  "species": ["Al", "Al", "Re", "Te", "Mo"],
  "frac_coords": [[0.000, 0.500, 0.000], [0.500, 0.000, 0.000], [0.000, 0.000, 0.000], [0.000, 0.000, 0.500], [0.500, 0.500, 0.500]],
  "e_form_raw_ev_per_atom": 1.15
}

---

Number 1: uncorrected energy -8.27 eV per atom. Number 2: uncorrected energy -6.39 eV per atom. Number 3: uncorrected energy -7.93 eV per atom. Number 4: uncorrected energy -4.45 eV per atom. Number 5: uncorrected energy -2.87 eV per atom. Number 6: uncorrected energy -3.28 eV per atom. Number 7: uncorrected energy -4.22 eV per atom. Number 8: uncorrected energy -8.48 eV per atom. Number 9: uncorrected energy -1.58 eV per atom. Number 10: uncorrected energy -5.78 eV per atom. Number 11: uncorrected energy -5.47 eV per atom. Number 12: uncorrected energy -4.95 eV per atom. Number 13: uncorrected energy -4.22 eV per atom. Number 14: uncorrected energy -7.09 eV per atom. Number 15: uncorrected energy -3.75 eV per atom. Number 16: uncorrected energy -5.93 eV per atom. Number 17: uncorrected energy -3.70 eV per atom. Number 18: uncorrected energy -7.06 eV per atom. Number 19: uncorrected energy -8.69 eV per atom. Number 20: uncorrected energy -5.63 eV per atom.